# 1
## TlCuSeCl6 (PBE)

Data for an optimized crystal structure of TlCuSeCl6.

**Total moment**: 0.08 μB per cell
**Formation energy without anion corrections**: -513 meV per atom
**Crystal system**: triclinic
**Total DFT energy (no corrections)**: -25.64 eV for the cell shown

abc: 6.7284 6.9297 7.3492
angles: 63.39 78.85 63.85
Space group P1 (No. 1)
Asymmetric unit:
Tl (0.0000, 0.0000, 0.0000) x1
Cu (0.3376, 0.1540, 0.2383) x1
Se (0.7912, 0.4485, 0.3510) x1
Cl (0.0502, 0.4753, 0.0268) x1
Cl (0.0994, 0.0494, 0.5097) x1
Cl (0.5237, 0.8590, 0.1341) x1
Cl (0.5773, 0.3946, 0.6323) x1
Cl (0.6011, 0.2920, 0.2084) x1
Cl (0.9648, 0.6100, 0.4557) x1


# 2
## CaTbEr2As4 (PBE)

Data for an optimized crystal structure of CaTbEr2As4.

**Total moment**: 0.00 μB per cell
**Crystal system**: monoclinic
**Total DFT energy (no corrections)**: -45.28 eV for the cell shown
**Energy of formation from the pure elements**: -1.366 eV/atom

abc: 7.1645 4.1186 7.1812
angles: 90.00 109.27 90.00
Space group P2/m (No. 10)
Asymmetric unit:
Ca (0.0000, 0.0000, 0.0000) x1
Tb (0.5000, 0.5000, 0.0000) x1
Er (0.0000, 0.5000, 0.5000) x1
Er (0.5000, 0.0000, 0.5000) x1
As (0.2511, 0.0000, 0.7439) x2
As (0.2572, 0.5000, 0.2597) x2


# 3
## TbTm2Pb (PBE)

Data for an optimized crystal structure of TbTm2Pb.

**Total moment**: 0.13 μB per cell
**Crystal system**: tetragonal
**Total DFT energy (no corrections)**: -18.31 eV for the cell shown
**Energy of formation from the pure elements**: -0.257 eV/atom
**Offset from the most stable computed form**: 0.14 eV per formula unit

abc: 4.8309 4.8309 4.8083
angles: 90.00 90.00 90.00
Space group P4/mmm (No. 123)
Asymmetric unit:
Tb (0.0000, 0.0000, 0.0000) x1
Tm (0.0000, 0.5000, 0.5000) x2
Pb (0.5000, 0.5000, 0.0000) x1


# 4
## CdIn2Se (PBE)

Data for an optimized crystal structure of CdIn2Se.

**Total moment**: 0.00 μB per cell
**Formation energy without anion corrections**: -46 meV per atom
**Crystal system**: cubic
**Total DFT energy (no corrections)**: -40.24 eV for the cell shown
**Offset from the most stable computed form**: 0.59 eV per formula unit

abc: 7.5666 7.5666 7.5666
angles: 90.00 90.00 90.00
Space group Fm-3m (No. 225)
Asymmetric unit:
Cd (0.0000, 0.0000, 0.0000) x4
In (0.2500, 0.2500, 0.2500) x8
Se (0.0000, 0.0000, 0.5000) x4


# 5
## Ba2FeTeC (PBE)

Data for an optimized crystal structure of Ba2FeTeC.

**Total moment**: 2.04 μB per cell
**Formation energy without anion corrections**: -282 meV per atom
**Crystal system**: tetragonal
**Total DFT energy (no corrections)**: -26.09 eV for the cell shown

abc: 6.0291 6.0291 3.8626
angles: 90.00 90.00 90.00
Space group P4/mmm (No. 123)
Asymmetric unit:
Ba (0.0000, 0.5000, 0.0000) x2
Fe (0.0000, 0.0000, 0.5000) x1
Te (0.5000, 0.5000, 0.5000) x1
C (0.0000, 0.0000, 0.0000) x1


# 6
## Cd2InSe (PBE)

Data for an optimized crystal structure of Cd2InSe.

**Total moment**: 0.00 μB per cell
**Formation energy without anion corrections**: 13 meV per atom
**Crystal system**: cubic
**Total DFT energy (no corrections)**: -32.01 eV for the cell shown
**Offset from the most stable computed form**: 0.78 eV per formula unit

abc: 7.4181 7.4181 7.4181
angles: 90.00 90.00 90.00
Space group F-43m (No. 216)
Asymmetric unit:
Cd (0.0000, 0.0000, 0.0000) x4
Cd (0.2500, 0.2500, 0.2500) x4
In (0.2500, 0.2500, 0.7500) x4
Se (0.0000, 0.0000, 0.5000) x4


# 7
## KHgAu2 (PBE)

Data for an optimized crystal structure of KHgAu2.

**Total moment**: 0.00 μB per cell
**Crystal system**: tetragonal
**Total DFT energy (no corrections)**: -7.87 eV for the cell shown
**Energy of formation from the pure elements**: 0.020 eV/atom

abc: 4.6524 4.6524 4.4852
angles: 90.00 90.00 90.00
Space group P4/mmm (No. 123)
Asymmetric unit:
K (0.0000, 0.0000, 0.0000) x1
Hg (0.5000, 0.5000, 0.0000) x1
Au (0.0000, 0.5000, 0.5000) x2


# 8
## SiRuBr2 (PBE)

Data for an optimized crystal structure of SiRuBr2.

**Total moment**: 0.00 μB per cell
**Formation energy without anion corrections**: -38 meV per atom
**Crystal system**: monoclinic
**Total DFT energy (no corrections)**: -36.39 eV for the cell shown
**Offset from the most stable computed form**: 0.19 eV per formula unit

abc: 6.7484 3.9402 8.7156
angles: 90.00 104.10 90.00
Space group Cm (No. 8)
Asymmetric unit:
Si (0.0000, 0.0000, 0.0000) x2
Ru (0.3584, 0.0000, 0.0750) x2
Br (0.3773, 0.5000, 0.7342) x2
Br (0.4314, 0.0000, 0.3514) x2